La6Ho5Er | PBE | optimized geometry

Unit cell a=5.239 b=11.206 c=9.627 alpha=54.41 beta=74.23 gamma=62.17
Sites, in units of the cell vectors:
Ho 0.000 0.666 0.667
Ho 0.500 0.167 0.666
Ho 0.000 0.334 0.333
Ho 0.500 0.833 0.334
Ho 0.500 0.500 0.000
La 0.750 0.416 0.667
La 0.750 0.083 0.333
La 0.250 0.584 0.333
La 0.749 0.751 0.000
La 0.250 0.917 0.667
La 0.251 0.249 0.000
Er 0.000 0.000 0.000

Results
Distance to the lowest polymorph of the same formula = 0.000 eV/atom
Formation energy from the elements = 0.023 eV per atom
ρ = 7.458 Mg/m³
Electronic total energy = -4.73 eV/atom